# 1
Here is an optimized crystal structure of TcAg2Te3 from the Open Quantum Materials Database. Energies are from PBE.

Geometry as CIF:
```
data_TcAg2Te3
_cell_length_a 4.348
_cell_length_b 13.271
_cell_length_c 6.340
_cell_angle_alpha 90.00
_cell_angle_beta 90.00
_cell_angle_gamma 90.00
_symmetry_space_group_name_H-M 'I m m 2'
_symmetry_Int_Tables_number 44
_symmetry_space_group_name_Hall 'I 2 -2'
loop_
_atom_site_label
_atom_site_type_symbol
_atom_site_fract_x
_atom_site_fract_y
_atom_site_fract_z
Tc1 Tc 0.000 0.000 0.000
Ag1 Ag 0.000 0.336 0.997
Te1 Te 0.000 0.157 0.226
Te2 Te 0.000 0.500 0.278
```

Properties
**V**: 366 Å³/cell
**Total DFT energy (no corrections)**: -4.104 eV per atom

---

# 2
Here is an optimized crystal structure of RbSmTa from the Open Quantum Materials Database. Energies are from PBE.

Geometry as CIF:
```
data_RbSmTa
_cell_length_a 7.769
_cell_length_b 7.769
_cell_length_c 7.769
_cell_angle_alpha 90.00
_cell_angle_beta 90.00
_cell_angle_gamma 90.00
_symmetry_space_group_name_H-M 'F -4 3 m'
_symmetry_Int_Tables_number 216
_symmetry_space_group_name_Hall 'F -4 2 3'
loop_
_atom_site_label
_atom_site_type_symbol
_atom_site_fract_x
_atom_site_fract_y
_atom_site_fract_z
Rb1 Rb 0.000 0.000 0.000
Sm1 Sm 0.250 0.250 0.250
Ta1 Ta 0.000 0.000 0.500
```

Properties
**V**: 469 Å³/cell
**Total DFT energy (no corrections)**: -3.830 eV per atom

---

# 3
Here is an optimized crystal structure of CuH8C14IN from the Open Quantum Materials Database. Energies are from PBE.

Geometry as CIF:
```
data_CuH8C14IN
_cell_length_a 32.869
_cell_length_b 4.101
_cell_length_c 18.961
_cell_angle_alpha 90.00
_cell_angle_beta 112.72
_cell_angle_gamma 90.00
_symmetry_space_group_name_H-M 'C 1 2/c 1'
_symmetry_Int_Tables_number 15
_symmetry_space_group_name_Hall '-C 2yc'
loop_
_atom_site_label
_atom_site_type_symbol
_atom_site_fract_x
_atom_site_fract_y
_atom_site_fract_z
Cu1 Cu 0.247 0.216 0.295
H1 H 0.023 0.255 0.843
H2 H 0.043 0.434 0.239
H3 H 0.101 0.151 0.803
H4 H 0.104 0.374 0.579
H5 H 0.107 0.379 0.199
H6 H 0.160 0.092 0.752
H7 H 0.182 0.420 0.499
H8 H 0.237 0.463 0.439
C1 C 0.002 0.138 0.571
C2 C 0.005 0.280 0.641
C3 C 0.036 0.035 0.478
C4 C 0.039 0.172 0.548
C5 C 0.042 0.450 0.686
C6 C 0.072 0.070 0.455
C7 C 0.076 0.346 0.597
C8 C 0.078 0.483 0.664
C9 C 0.103 0.102 0.435
C10 C 0.131 0.014 0.835
C11 C 0.136 0.131 0.406
C12 C 0.163 0.019 0.307
C13 C 0.176 0.302 0.444
C14 C 0.207 0.326 0.411
I1 I 0.199 0.210 0.146
N1 N 0.201 0.189 0.343
```

Properties
**V**: 2358 Å³/cell
**Total DFT energy (no corrections)**: -6.705 eV per atom

---

# 4
Here is an optimized crystal structure of GdBiS2O from the Open Quantum Materials Database. Energies are from PBE.

Geometry as CIF:
```
data_GdBiS2O
_cell_length_a 3.937
_cell_length_b 3.937
_cell_length_c 14.145
_cell_angle_alpha 90.00
_cell_angle_beta 90.00
_cell_angle_gamma 90.00
_symmetry_space_group_name_H-M 'P 4/n m m'
_symmetry_Int_Tables_number 129
loop_
_symmetry_equiv_pos_as_xyz
'x,y,z'
'-x,-y,-z'
'-y+1/2,x,z'
'y+1/2,-x,-z'
'-x+1/2,-y+1/2,z'
'x+1/2,y+1/2,-z'
'y,-x+1/2,z'
'-y,x+1/2,-z'
'x+1/2,-y,-z'
'-x+1/2,y,z'
'-y,-x,-z'
'y,x,z'
'-x,y+1/2,-z'
'x,-y+1/2,z'
'y+1/2,x+1/2,-z'
'-y+1/2,-x+1/2,z'
loop_
_atom_site_label
_atom_site_type_symbol
_atom_site_fract_x
_atom_site_fract_y
_atom_site_fract_z
Gd1 Gd 0.250 0.250 0.081
Bi1 Bi 0.250 0.250 0.637
S1 S 0.250 0.250 0.395
S2 S 0.250 0.250 0.816
O1 O 0.250 0.750 0.000
```

Properties
**V**: 219 Å³/cell
**Total DFT energy (no corrections)**: -6.105 eV per atom

---

# 5
Here is an optimized crystal structure of Na2LiCoBr6 from the Open Quantum Materials Database. Energies are from PBE.

Geometry as CIF:
```
data_Na2LiCoBr6
_cell_length_a 10.108
_cell_length_b 10.108
_cell_length_c 10.108
_cell_angle_alpha 90.00
_cell_angle_beta 90.00
_cell_angle_gamma 90.00
_symmetry_space_group_name_H-M 'F m -3 m'
_symmetry_Int_Tables_number 225
_symmetry_space_group_name_Hall '-F 4 2 3'
loop_
_atom_site_label
_atom_site_type_symbol
_atom_site_fract_x
_atom_site_fract_y
_atom_site_fract_z
Na1 Na 0.250 0.250 0.250
Li1 Li 0.000 0.000 0.000
Co1 Co 0.000 0.000 0.500
Br1 Br 0.000 0.000 0.261
```

Properties
**V**: 1033 Å³/cell
**Total DFT energy (no corrections)**: -3.056 eV per atom

---

# 6
Here is an optimized crystal structure of YTmSi2W2C from the Open Quantum Materials Database. Energies are from PBE.

Geometry as CIF:
```
data_YTmSi2W2C
_cell_length_a 11.078
_cell_length_b 3.822
_cell_length_c 7.090
_cell_angle_alpha 90.00
_cell_angle_beta 125.30
_cell_angle_gamma 90.00
_symmetry_space_group_name_H-M 'C 1 m 1'
_symmetry_Int_Tables_number 8
_symmetry_space_group_name_Hall 'C -2y'
loop_
_atom_site_label
_atom_site_type_symbol
_atom_site_fract_x
_atom_site_fract_y
_atom_site_fract_z
Y1 Y 0.000 0.000 0.000
Tm1 Tm 0.351 0.500 0.408
Si1 Si 0.056 0.500 0.364
Si2 Si 0.293 0.000 0.044
W1 W 0.132 0.500 0.787
W2 W 0.217 0.000 0.617
C1 C 0.423 0.000 0.699
```

Properties
**V**: 245 Å³/cell
**Total DFT energy (no corrections)**: -8.676 eV per atom

---

# 7
Here is an optimized crystal structure of Ac2PaS6 from the Open Quantum Materials Database. Energies are from PBE.

Geometry as CIF:
```
data_Ac2PaS6
_cell_length_a 7.6690
_cell_length_b 7.6690
_cell_length_c 4.1290
_cell_angle_alpha 90.00
_cell_angle_beta 90.00
_cell_angle_gamma 120.00
_symmetry_space_group_name_H-M 'P -6 2 m'
_symmetry_Int_Tables_number 189
_symmetry_space_group_name_Hall 'P -6 -2'
loop_
_atom_site_label
_atom_site_type_symbol
_atom_site_fract_x
_atom_site_fract_y
_atom_site_fract_z
Ac1 Ac 0.3333 0.6667 0.0000
Pa1 Pa 0.0000 0.0000 0.5000
S1 S 0.0000 0.3932 0.5000
S2 S 0.0000 0.7626 0.0000
```

Properties
**V**: 210 Å³/cell
**Total DFT energy (no corrections)**: -6.507 eV per atom

---

# 8
Here is an optimized crystal structure of GeTePdO from the Open Quantum Materials Database. Energies are from PBE.

Geometry as CIF:
```
data_GeTePdO
_cell_length_a 4.095
_cell_length_b 4.095
_cell_length_c 8.597
_cell_angle_alpha 90.00
_cell_angle_beta 90.00
_cell_angle_gamma 90.00
_symmetry_space_group_name_H-M 'P 4/n m m'
_symmetry_Int_Tables_number 129
loop_
_symmetry_equiv_pos_as_xyz
'x,y,z'
'-x,-y,-z'
'-y+1/2,x,z'
'y+1/2,-x,-z'
'-x+1/2,-y+1/2,z'
'x+1/2,y+1/2,-z'
'y,-x+1/2,z'
'-y,x+1/2,-z'
'x+1/2,-y,-z'
'-x+1/2,y,z'
'-y,-x,-z'
'y,x,z'
'-x,y+1/2,-z'
'x,-y+1/2,z'
'y+1/2,x+1/2,-z'
'-y+1/2,-x+1/2,z'
loop_
_atom_site_label
_atom_site_type_symbol
_atom_site_fract_x
_atom_site_fract_y
_atom_site_fract_z
Ge1 Ge 0.250 0.750 0.000
Te1 Te 0.250 0.250 0.321
Pd1 Pd 0.250 0.250 0.806
O1 O 0.250 0.250 0.539
```

Properties
**V**: 144 Å³/cell
**Energy above the most stable polymorph in this dataset**: 0.533 eV per atom